VASP calculation (PBE) on a geometry-optimized AcInSnAu2 structure.

a = 4.513 Å, b = 4.513 Å, c = 7.060 Å
α = 108.64°, β = 108.64°, γ = 90.00°
Fractional coordinates of all 5 atoms:
Ac 0.000 0.000 0.000
In 0.750 0.250 0.500
Sn 0.250 0.750 0.500
Au 0.609 0.609 0.217
Au 0.391 0.391 0.783

Properties
Total moment in μB per cell: 0.000
Calculated formation energy in eV per atom: -0.616
Space group: No. 119

---

VASP calculation (PBE) on a geometry-optimized SiOs2Pt structure.

a = 2.746 Å, b = 4.611 Å, c = 4.612 Å
α = 90.00°, β = 90.00°, γ = 90.00°
Fractional coordinates of all 4 atoms:
Os 0.000 0.000 0.000
Os 0.500 0.500 0.000
Pt 0.500 0.000 0.500
Si 0.000 0.500 0.500

Properties
Total moment in μB per cell: 0.001
Formation energy (no corrections) in kJ/mol of formula units: 104.2
Space group: No. 47

---

VASP calculation (PBE) on a geometry-optimized Ti4Os structure.

a = 4.715 Å, b = 4.715 Å, c = 4.715 Å
α = 90.00°, β = 90.00°, γ = 90.00°
Last column: magnetic moment on the atom in μB.
Fractional coordinates of all 5 atoms:
Os 0.500 0.500 0.500  0.03
Ti 0.000 0.000 0.000  0.72
Ti 0.500 0.000 0.500  -0.11
Ti 0.000 0.500 0.500  -0.11
Ti 0.500 0.500 0.000  -0.11

Properties
Total moment in μB per cell: 0.500
Energy above the lowest structure with this stoichiometry in meV per atom: 673
Calculated formation energy in eV per atom: 0.550
Space group: No. 221

---

VASP calculation (PBE) on a geometry-optimized SrZn2CoGe structure.

a = 4.719 Å, b = 4.719 Å, c = 4.522 Å
α = 90.00°, β = 90.00°, γ = 90.00°
Last column: magnetic moment on the atom in μB.
Fractional coordinates of all 5 atoms:
Sr 0.500 0.500 0.500  0.04
Ge 0.000 0.000 0.500  0.02
Co 0.000 0.000 0.000  0.41
Zn 0.000 0.500 0.000  -0.01
Zn 0.500 0.000 0.000  -0.01

Properties
Total moment in μB per cell: 0.614
Calculated formation energy in eV per atom: -0.232
Space group: No. 123